A:
Material: TlPd15
Method: DFT, PBE-GGA
State: relaxed

Cell and atoms, written as POSCAR:
```
TlPd15
1.0
5.554 0.000 0.000
0.000 3.869 0.000
-0.020 0.000 33.178
Tl Pd
2 30
Cartesian
0.000 0.000 0.000
1.369 1.934 21.825
5.550 0.000 3.097
5.546 0.000 8.802
5.543 0.000 14.433
-0.006 0.000 17.280
1.375 1.934 4.548
1.383 1.934 1.671
1.380 1.934 7.392
1.377 1.934 13.022
1.373 1.934 18.731
1.381 1.934 10.209
1.376 1.934 15.851
2.755 0.000 17.280
2.764 0.000 14.434
2.758 0.000 20.160
2.777 0.000 0.311
2.773 0.000 3.158
2.771 0.000 5.984
2.769 0.000 8.801
2.768 0.000 11.612
4.156 1.934 10.210
4.154 1.934 13.022
4.153 1.934 15.843
4.150 1.934 18.674
4.146 1.934 21.527
4.166 1.934 1.672
4.159 1.934 7.390
4.168 1.934 4.547
5.547 0.000 5.974
5.543 0.000 11.613
5.539 0.000 20.161
```

## Properties
Space group: Pm, No. 6



B:
Material: TlPd15
Method: DFT, PBE-GGA
State: relaxed

Cell and atoms, written as POSCAR:
```
TlPd15
1.0
3.912 0.000 0.000
0.000 3.913 0.000
0.000 0.000 43.924
Tl Pd
2 30
Cartesian
0.978 0.000 6.814
2.934 0.000 37.110
0.978 0.000 11.152
0.978 0.000 15.100
0.978 0.000 19.034
0.978 0.000 22.934
0.978 0.000 26.851
0.978 0.000 30.797
0.978 0.000 34.809
0.978 1.956 9.114
0.978 1.956 13.127
0.978 1.956 17.072
0.978 1.956 20.988
0.978 1.956 24.894
0.978 1.956 28.813
0.978 1.956 32.801
0.978 1.956 36.832
2.934 0.000 9.114
2.934 0.000 13.127
2.934 0.000 17.072
2.934 0.000 20.989
2.934 0.000 24.890
2.934 0.000 28.824
2.934 0.000 32.772
2.934 1.956 7.091
2.934 1.956 11.123
2.934 1.956 15.111
2.934 1.956 19.029
2.934 1.956 22.936
2.934 1.956 26.851
2.934 1.956 30.796
2.934 1.956 34.810
```

## Properties
Space group: Pmma, No. 51



Relative stability in eV/atom, measured from the most stable structure: A 0.032; B 0.000



A:
Material: TmInHgTe3
Method: DFT, PBE-GGA
State: relaxed

Cell and atoms, written as POSCAR:
```
TmInHgTe3
1.0
11.711 0.000 0.000
0.000 4.477 0.000
0.000 0.000 14.393
Tm In Hg Te
4 4 4 12
Cartesian
0.269 1.119 3.504
5.586 3.358 10.701
6.125 1.119 3.693
11.442 3.358 10.889
2.525 3.358 7.327
3.331 1.119 0.130
8.380 3.358 14.263
9.187 1.119 7.066
2.823 1.119 10.252
3.033 3.358 3.055
8.678 1.119 11.338
8.889 3.358 4.141
0.340 1.119 8.849
0.740 3.358 1.442
2.701 3.358 12.074
3.154 1.119 4.877
5.116 1.119 8.639
5.516 3.358 1.653
6.196 1.119 12.740
6.595 3.358 5.755
8.557 3.358 9.516
9.010 1.119 2.320
10.972 1.119 12.951
11.371 3.358 5.544
```

## Properties
Total magnetic moment (μB/f.u.): 0.0
Space group: Pnma, No. 62



B:
Material: TmInHgTe3
Method: DFT, PBE-GGA
State: relaxed

Cell and atoms, written as POSCAR:
```
TmInHgTe3
1.0
9.598 -2.161 0.000
9.598 2.161 0.000
-2.087 0.000 9.305
Tm In Hg Te
2 2 2 6
Cartesian
3.150 0.000 0.841
13.959 0.000 8.464
1.325 0.000 5.413
15.783 0.000 3.892
7.251 0.000 7.242
9.857 0.000 2.062
0.000 0.000 0.000
4.499 0.000 6.287
6.122 0.000 1.267
8.554 0.000 4.652
10.987 0.000 8.038
12.609 0.000 3.018
```

## Properties
Total magnetic moment (μB/f.u.): 0.0
Space group: C2/m, No. 12



Relative stability in eV/atom, measured from the most stable structure: A 0.000; B 0.026



A:
Material: NaZr
Method: DFT, PBE-GGA
State: relaxed

Cell and atoms, written as POSCAR:
```
NaZr
1.0
0.000 2.924 2.924
2.924 0.000 2.924
2.924 2.924 0.000
Na Zr
1 1
Cartesian
0.000 0.000 0.000
2.924 2.924 2.924
```

## Properties
Total magnetic moment (μB/f.u.): 0.0
Space group: Fm-3m, No. 225



B:
Material: NaZr
Method: DFT, PBE-GGA
State: relaxed

Cell and atoms, written as POSCAR:
```
NaZr
1.0
6.645 0.000 0.000
0.000 5.199 0.000
-1.580 0.000 8.508
Na Zr
6 6
Cartesian
0.049 1.300 1.027
-0.011 1.300 6.764
1.567 3.899 1.773
3.498 1.300 6.735
5.076 3.899 1.744
5.016 3.899 7.481
0.094 3.899 4.695
1.767 1.300 4.015
1.726 3.899 7.381
3.338 1.300 1.128
3.298 3.899 4.494
4.970 1.300 3.813
```

## Properties
Total magnetic moment (μB/f.u.): 0.7
Space group: P2_1/m, No. 11



Relative stability in eV/atom, measured from the most stable structure: A 0.880; B 0.000



A:
Material: KOsSO
Method: DFT, PBE-GGA
State: relaxed

Cell and atoms, written as POSCAR:
```
KOsSO
1.0
3.694 0.000 0.000
0.000 3.694 0.000
0.000 0.000 8.860
K Os S O
2 2 2 2
Cartesian
0.924 2.771 0.000
2.771 0.924 0.000
0.924 0.924 3.238
2.771 2.771 5.623
0.924 0.924 6.562
2.771 2.771 2.298
0.924 2.771 4.430
2.771 0.924 4.430
```

## Properties
Total magnetic moment (μB/f.u.): 0.0
Space group: P4/nmm, No. 129



B:
Material: KOsSO
Method: DFT, PBE-GGA
State: relaxed

Cell and atoms, written as POSCAR:
```
KOsSO
1.0
7.259 0.000 0.000
0.000 6.012 0.000
-2.198 0.000 6.062
K Os S O
4 4 4 4
Cartesian
0.542 1.480 0.161
-0.557 1.525 3.191
5.618 4.486 2.870
4.519 4.531 5.901
1.825 3.719 4.567
2.924 5.298 1.536
2.137 0.714 4.525
3.236 2.292 1.494
1.379 3.707 2.258
0.280 5.311 5.288
4.781 0.701 0.773
3.682 2.305 3.804
1.796 0.790 2.338
0.697 2.216 5.369
4.365 3.796 0.692
3.266 5.222 3.723
```

## Properties
Total magnetic moment (μB/f.u.): 0.0
Space group: P2_1/c, No. 14



Relative stability in eV/atom, measured from the most stable structure: A 1.014; B 0.000